{
  "formula": "Sr2SnPPd6",
  "functional": "PBE",
  "state": "optimized geometry",
  "lattice_angstrom": [[6.4437, 0.0000, 0.0000], [-3.2189, 5.6023, 0.0000], [-3.2136, -1.8535, 6.0992]],
  "species": ["Sr", "Sr", "Sn", "P", "Pd", "Pd", "Pd", "Pd", "Pd", "Pd"],
  "frac_coords": [[0.0465, 0.2739, 0.3202], [0.9535, 0.7261, 0.6798], [0.5000, 0.0000, 0.5000], [0.5000, 0.5000, 0.0000], [0.0190, 0.2581, 0.8392], [0.4176, 0.1781, 0.1594], [0.4179, 0.7409, 0.1582], [0.5821, 0.2591, 0.8418], [0.5824, 0.8219, 0.8406], [0.9810, 0.7419, 0.1608]],
  "final_energy_ev_per_atom": -5.072,
  "dos_ef_per_ev_cell": 4.10,
  "crystal_system": "triclinic",
  "ef_ev_per_atom": -0.679,
  "magmom_total_mub_per_fu": 0.0
}